Record 1
Here is a geometry-optimized Ca2Pr3Nd structure from Alexandria via LeMat-Bulk. Energies are from PBE.

Values from the calculation:
Total moment: 0.00 μB/f.u.
Symmetry: P-3m1 (164)
Energy: -3.822 eV per atom
Calculated formation energy: 0.030 eV/atom

Lattice parameters (Å, degrees): 7.4856 7.4856 9.3149 90.00 90.00 120.00
With the nearest neighbours (Å) after each atom.
Positions (direct):
Pr 0.3334 0.1667 0.3443  6 Pr 3.62-3.74, 3 Nd 3.62-3.74, 3 Ca 3.87
Pr 0.1667 0.3334 0.6557  6 Pr 3.62-3.74, 3 Nd 3.62-3.74, 3 Ca 3.87
Pr 0.8333 0.1667 0.3443  6 Pr 3.62-3.74, 3 Nd 3.62-3.74, 3 Ca 3.87
Pr 0.8333 0.6666 0.3443  6 Pr 3.62-3.74, 3 Nd 3.62-3.74, 3 Ca 3.87
Pr 0.1667 0.8333 0.6557  6 Pr 3.62-3.74, 3 Nd 3.62-3.74, 3 Ca 3.87
Pr 0.6666 0.8333 0.6557  6 Pr 3.62-3.74, 3 Nd 3.62-3.74, 3 Ca 3.87
Ca 0.5000 0.5000 0.0000  6 Ca 3.74, 2 Nd 3.87, 4 Pr 3.87
Ca 0.0000 0.0000 0.0000  6 Ca 3.74, 6 Pr 3.87
Ca 0.5000 0.0000 0.0000  6 Ca 3.74, 2 Nd 3.87, 4 Pr 3.87
Ca 0.0000 0.5000 0.0000  6 Ca 3.74, 2 Nd 3.87, 4 Pr 3.87
Nd 0.3333 0.6667 0.3443  9 Pr 3.62-3.74, 3 Ca 3.87
Nd 0.6667 0.3333 0.6557  9 Pr 3.62-3.74, 3 Ca 3.87

***

Record 2
Here is a geometry-optimized Ca2PrNd5 structure from Alexandria via LeMat-Bulk. Energies are from PBE.

Values from the calculation:
Total moment: 0.00 μB/f.u.
Symmetry: I4/mmm (139)
Energy: -4.035 eV per atom
Calculated formation energy: 0.043 eV/atom

Lattice parameters (Å, degrees): 5.2589 5.2589 11.2703 103.49 103.49 90.00
With the nearest neighbours (Å) after each atom.
Positions (direct):
Nd 0.3818 0.8818 0.7635  6 Nd 3.64-3.72, 2 Pr 3.64, 4 Ca 3.84
Nd 0.5000 0.5000 0.0000  8 Nd 3.64, 4 Pr 3.72
Nd 0.1182 0.6182 0.2365  2 Pr 3.64, 6 Nd 3.64-3.72, 4 Ca 3.84
Nd 0.8818 0.3818 0.7635  2 Pr 3.64, 6 Nd 3.64-3.72, 4 Ca 3.84
Nd 0.6182 0.1182 0.2365  6 Nd 3.64-3.72, 2 Pr 3.64, 4 Ca 3.84
Ca 0.7501 0.7501 0.5001  4 Ca 3.72, 8 Nd 3.84
Ca 0.2499 0.2499 0.4999  4 Ca 3.72, 8 Nd 3.84
Pr 0.0000 0.0000 0.0000  12 Nd 3.64-3.72

***

Record 3
Here is a geometry-optimized Ca2Pr7Nd2 structure from Alexandria via LeMat-Bulk. Energies are from PBE.

Values from the calculation:
Total moment: 0.00 μB/f.u.
Symmetry: C2/m (12)
Energy: -4.111 eV per atom
Calculated formation energy: 0.161 eV/atom

Lattice parameters (Å, degrees): 10.1792 8.4436 10.1792 43.94 113.62 136.06
With the nearest neighbours (Å) after each atom.
Positions (direct):
Nd 0.7956 0.0699 0.2044  3 Pr 3.50-3.74, 4 Ca 3.59-3.63, 1 Nd 3.77
Nd 0.2044 0.9301 0.7956  3 Pr 3.50-3.74, 4 Ca 3.59-3.63, 1 Nd 3.77
Pr 0.5165 0.7811 0.8981  3 Pr 3.32-3.61, 2 Ca 3.52-3.67
Pr 0.5895 0.3555 0.4105  8 Pr 3.44-3.80, 1 Nd 3.50, 2 Ca 3.65
Pr 0.1019 0.7811 0.4835  3 Pr 3.32-3.61, 2 Ca 3.52-3.67
Pr 0.0000 0.0000 0.0000  6 Pr 3.61-3.78, 2 Nd 4.00
Pr 0.8981 0.2189 0.5165  3 Pr 3.32-3.61, 2 Ca 3.52-3.67
Pr 0.4835 0.2189 0.1019  3 Pr 3.32-3.61, 2 Ca 3.52-3.67
Pr 0.4105 0.6445 0.5895  8 Pr 3.44-3.80, 1 Nd 3.50, 2 Ca 3.65
Ca 0.2741 0.5000 0.2741  6 Pr 3.52-3.67, 4 Nd 3.59-3.63
Ca 0.7259 0.5000 0.7259  6 Pr 3.52-3.67, 4 Nd 3.59-3.63

***

Record 4
Here is a geometry-optimized Ca2Pr4Nd5 structure from Alexandria via LeMat-Bulk. Energies are from PBE.

Values from the calculation:
Total moment: 0.00 μB/f.u.
Symmetry: C2/m (12)
Energy: -4.226 eV per atom
Calculated formation energy: 0.043 eV/atom

Lattice parameters (Å, degrees): 5.2874 8.3093 9.8297 104.70 105.60 90.00
With the nearest neighbours (Å) after each atom.
Positions (direct):
Nd 0.2291 0.6348 0.4582  6 Pr 3.58-3.70, 5 Nd 3.67-3.77, 1 Ca 3.76
Nd 0.7709 0.3652 0.5418  6 Pr 3.58-3.70, 5 Nd 3.67-3.77, 1 Ca 3.76
Nd 0.3161 0.0847 0.6321  4 Pr 3.64-3.78, 6 Nd 3.66-3.77, 2 Ca 3.75
Nd 0.6839 0.9153 0.3679  4 Pr 3.64-3.78, 6 Nd 3.66-3.77, 2 Ca 3.75
Nd 0.5000 0.0000 0.0000  6 Pr 3.70-3.79, 4 Ca 3.71, 2 Nd 3.73
Ca 0.9543 0.2700 0.9086  5 Nd 3.71-3.76, 1 Ca 3.76, 6 Pr 3.76-3.80
Ca 0.0457 0.7300 0.0914  5 Nd 3.71-3.76, 1 Ca 3.76, 6 Pr 3.76-3.80
Pr 0.4047 0.5494 0.8095  5 Nd 3.58-3.78, 3 Pr 3.67-3.91, 4 Ca 3.78-3.80
Pr 0.1410 0.1880 0.2819  8 Nd 3.64-3.79, 2 Pr 3.67, 2 Ca 3.76-3.77
Pr 0.8590 0.8120 0.7181  8 Nd 3.64-3.79, 2 Pr 3.67, 2 Ca 3.76-3.77
Pr 0.5953 0.4506 0.1905  5 Nd 3.58-3.78, 3 Pr 3.67-3.91, 4 Ca 3.78-3.80